[1]
VASP calculation (PBE-GGA) on Li3In2Hg8 after structural relaxation.

Lattice parameters (Å, degrees): 13.3658 8.0461 6.0177 90.00 98.69 90.00
Closest atoms and distances in Å follow each position.
Space group C2/m (No. 12)
One atom of each set of equivalent atoms:
Li  0.0000  0.0000  0.0000  6 Hg 2.73-2.90
Li  0.0000  0.1924  0.5000  6 Hg 2.91-2.94, 1 Li 3.10
In  0.2116  0.0000  0.8384  7 Hg 2.97-3.21, 1 Li 3.13
Hg  0.1035  0.3081  0.9316  2 Li 2.90-2.91, 2 In 2.97-3.06, 3 Hg 3.00-3.24
Hg  0.1151  0.5000  0.4627  2 Li 2.94, 4 Hg 3.06-3.24, 1 In 3.15
Hg  0.1594  0.0000  0.3417  3 Li 2.73-2.91, 1 In 2.97

Properties
energy of formation	-0.1177	eV per atom
N(E_F)	8.58	states/eV/cell
DFT total energy	-1.17	eV/atom
spin magnetization	0.0	μB/f.u.
crystal system	monoclinic
energy relative to the lowest polymorph listed for this composition	32.0	meV/atom

[2]
VASP calculation (PBE-GGA) on ErScSi after structural relaxation.

Lattice parameters (Å, degrees): 6.6002 6.6002 6.6002 90.00 90.00 90.00
Closest atoms and distances in Å follow each position.
Space group F-43m (No. 216)
One atom of each set of equivalent atoms:
Er  0.0000  0.0000  0.0000  4 Si 2.86
Sc  0.0000  0.0000  0.5000  4 Si 2.86
Si  0.2500  0.2500  0.7500  4 Er 2.86, 4 Sc 2.86

Properties
N(E_F)	11.18	states/eV/cell
DFT total energy	-5.92	eV/atom
spin magnetization	0.0	μB/f.u.
crystal system	cubic
energy relative to the lowest polymorph listed for this composition	151.8	meV/atom

[3]
VASP calculation (PBE-GGA) on Zn2Sn2Au after structural relaxation.

Lattice parameters (Å, degrees): 6.9659 6.9659 4.3134 90.00 90.00 90.00
Closest atoms and distances in Å follow each position.
Space group P4/mbm (No. 127)
One atom of each set of equivalent atoms:
Zn  0.1327  0.3673  0.0000  1 Zn 2.61, 2 Au 2.72, 2 Sn 2.88
Sn  0.1730  0.6730  0.5000  6 Zn 2.88-3.04
Au  0.0000  0.0000  0.0000  4 Zn 2.72

Properties
energy of formation	0.0149	eV per atom
N(E_F)	3.59	states/eV/cell
DFT total energy	-2.75	eV/atom
spin magnetization	0.0	μB/f.u.
crystal system	tetragonal
energy relative to the lowest polymorph listed for this composition	0.0	meV/atom

[4]
VASP calculation (PBE-GGA) on Tb4NdSm7 after structural relaxation.

Lattice parameters (Å, degrees): 6.3082 7.2810 8.9846 89.99 76.33 89.99
Closest atoms and distances in Å follow each position.
Space group P-1 (No. 2)
One atom of each set of equivalent atoms:
Tb  0.2198  0.9999  0.3341  4 Tb 3.56-3.64, 8 Sm 3.58-3.64
Tb  0.2789  0.7518  0.6662  8 Sm 3.56-3.66, 3 Tb 3.58-3.64, 1 Nd 3.60
Nd  0.0000  0.5000  0.0000  10 Sm 3.60-3.65, 2 Tb 3.60
Sm  0.0000  0.0000  0.0000  4 Tb 3.59, 6 Sm 3.60-3.64, 2 Nd 3.64
Sm  0.2218  0.4999  0.3340  6 Sm 3.57-3.65, 5 Tb 3.59-3.65, 1 Nd 3.60
Sm  0.2797  0.2486  0.6650  6 Tb 3.56-3.66, 5 Sm 3.58-3.65, 1 Nd 3.61
Sm  0.5000  0.2480  0.0004  3 Tb 3.59, 7 Sm 3.60-3.67, 2 Nd 3.65

Properties
energy of formation	0.0046	eV per atom
N(E_F)	16.94	states/eV/cell
DFT total energy	-4.69	eV/atom
spin magnetization	0.0	μB/f.u.
crystal system	triclinic
energy relative to the lowest polymorph listed for this composition	0.0	meV/atom